# PBE-GGA Cr4Mo, relaxed
# DOS at the Fermi energy ... 0.844 states/eV per atom
# Uncorrected energy ... -9.810 eV per atom
# ΔE_f ... 54.7 meV/atom
data_Cr4Mo
_chemical_formula_sum 'Cr8 Mo2'
_space_group_name_H-M_alt 'I 4/m'
_space_group_IT_number 87
_space_group_name_Hall '-I 4'
_cell_length_a 6.532
_cell_length_b 6.532
_cell_length_c 2.934
_cell_angle_alpha 90.00
_cell_angle_beta 90.00
_cell_angle_gamma 90.00
loop_
_atom_site_label
_atom_site_type_symbol
_atom_site_fract_x
_atom_site_fract_y
_atom_site_fract_z
Cr1 Cr 0.099 0.694 0.000
Mo1 Mo 0.000 0.000 0.500

=====

# PBE-GGA Cr3Mo, relaxed
# DOS at the Fermi energy ... 1.064 states/eV per atom
# Uncorrected energy ... -9.580 eV per atom
# ΔE_f ... 345.2 meV/atom
data_Cr3Mo
_chemical_formula_sum 'Cr3 Mo1'
_space_group_name_H-M_alt 'P m m m'
_space_group_IT_number 47
_cell_length_a 2.476
_cell_length_b 4.329
_cell_length_c 4.886
_cell_angle_alpha 90.00
_cell_angle_beta 90.00
_cell_angle_gamma 90.00
loop_
_space_group_symop_operation_xyz
'x,y,z'
'-x,-y,-z'
'-x,-y,z'
'x,y,-z'
'x,-y,-z'
'-x,y,z'
'-x,y,-z'
'x,-y,z'
loop_
_atom_site_label
_atom_site_type_symbol
_atom_site_fract_x
_atom_site_fract_y
_atom_site_fract_z
Cr1 Cr 0.000 0.000 0.000
Cr2 Cr 0.500 0.500 0.236
Mo1 Mo 0.000 0.000 0.500

=====

# PBE-GGA CrMo, relaxed
# DOS at the Fermi energy ... 0.926 states/eV per atom
# Uncorrected energy ... -10.140 eV per atom
# ΔE_f ... 87.5 meV/atom
data_CrMo
_chemical_formula_sum 'Cr6 Mo6'
_space_group_name_H-M_alt 'C 1 2/m 1'
_space_group_IT_number 12
_cell_length_a 9.552
_cell_length_b 3.033
_cell_length_c 6.067
_cell_angle_alpha 90.00
_cell_angle_beta 108.71
_cell_angle_gamma 90.00
loop_
_space_group_symop_operation_xyz
'x,y,z'
'-x,-y,-z'
'-x,y,-z'
'x,-y,z'
'x+1/2,y+1/2,z'
'-x+1/2,-y+1/2,-z'
'-x+1/2,y+1/2,-z'
'x+1/2,-y+1/2,z'
loop_
_atom_site_label
_atom_site_type_symbol
_atom_site_fract_x
_atom_site_fract_y
_atom_site_fract_z
Cr1 Cr 0.000 0.000 0.000
Cr2 Cr 0.170 0.500 0.843
Mo1 Mo 0.000 0.000 0.500
Mo2 Mo 0.164 0.500 0.319

=====

# PBE-GGA CrMo, relaxed
# DOS at the Fermi energy ... 1.048 states/eV per atom
# Uncorrected energy ... -9.797 eV per atom
# ΔE_f ... 430.0 meV/atom
data_CrMo
_chemical_formula_sum 'Cr8 Mo8'
_space_group_name_H-M_alt 'I 4/m'
_space_group_IT_number 87
_space_group_name_Hall '-I 4'
_cell_length_a 7.271
_cell_length_b 7.271
_cell_length_c 4.371
_cell_angle_alpha 90.00
_cell_angle_beta 90.00
_cell_angle_gamma 90.00
loop_
_atom_site_label
_atom_site_type_symbol
_atom_site_fract_x
_atom_site_fract_y
_atom_site_fract_z
Cr1 Cr 0.158 0.160 0.000
Mo1 Mo 0.001 0.306 0.500

=====

# PBE-GGA Cr2Mo, relaxed
# DOS at the Fermi energy ... 0.909 states/eV per atom
# Uncorrected energy ... -9.958 eV per atom
# ΔE_f ... 68.1 meV/atom
data_Cr2Mo
_chemical_formula_sum 'Cr4 Mo2'
_space_group_name_H-M_alt 'I 4/m m m'
_space_group_IT_number 139
_space_group_name_Hall '-I 4 2'
_cell_length_a 2.975
_cell_length_b 2.975
_cell_length_c 8.891
_cell_angle_alpha 90.00
_cell_angle_beta 90.00
_cell_angle_gamma 90.00
loop_
_atom_site_label
_atom_site_type_symbol
_atom_site_fract_x
_atom_site_fract_y
_atom_site_fract_z
Cr1 Cr 0.000 0.000 0.172
Mo1 Mo 0.000 0.000 0.500

=====

# PBE-GGA Cr3Mo, relaxed
# DOS at the Fermi energy ... 1.025 states/eV per atom
# Uncorrected energy ... -7.895 eV per atom
# ΔE_f ... 2030.2 meV/atom
data_Cr3Mo
_chemical_formula_sum 'Cr3 Mo1'
_space_group_name_H-M_alt 'P m -3 m'
_space_group_IT_number 221
_space_group_name_Hall '-P 4 2 3'
_cell_length_a 4.788
_cell_length_b 4.788
_cell_length_c 4.788
_cell_angle_alpha 90.00
_cell_angle_beta 90.00
_cell_angle_gamma 90.00
loop_
_atom_site_label
_atom_site_type_symbol
_atom_site_fract_x
_atom_site_fract_y
_atom_site_fract_z
Cr1 Cr 0.000 0.000 0.500
Mo1 Mo 0.000 0.000 0.000

=====

# PBE-GGA Cr3Mo, relaxed
# DOS at the Fermi energy ... 0.748 states/eV per atom
# Uncorrected energy ... -9.858 eV per atom
# ΔE_f ... 67.6 meV/atom
data_Cr3Mo
_chemical_formula_sum 'Cr3 Mo1'
_space_group_name_H-M_alt 'P 1 2/m 1'
_space_group_IT_number 10
_cell_length_a 2.574
_cell_length_b 4.123
_cell_length_c 4.885
_cell_angle_alpha 90.00
_cell_angle_beta 99.94
_cell_angle_gamma 90.00
loop_
_space_group_symop_operation_xyz
'x,y,z'
'-x,-y,-z'
'-x,y,-z'
'x,-y,z'
loop_
_atom_site_label
_atom_site_type_symbol
_atom_site_fract_x
_atom_site_fract_y
_atom_site_fract_z
Cr1 Cr 0.000 0.000 0.000
Cr2 Cr 0.258 0.500 0.763
Mo1 Mo 0.500 0.000 0.500

=====

# PBE-GGA Cr3Mo4, relaxed
# DOS at the Fermi energy ... 1.200 states/eV per atom
# Uncorrected energy ... -10.234 eV per atom
# ΔE_f ... 79.4 meV/atom
data_Cr3Mo4
_chemical_formula_sum 'Cr3 Mo4'
_space_group_name_H-M_alt 'P 6/m m m'
_space_group_IT_number 191
_space_group_name_Hall '-P 6 2'
_cell_length_a 4.8292
_cell_length_b 4.8292
_cell_length_c 4.9387
_cell_angle_alpha 90.00
_cell_angle_beta 90.00
_cell_angle_gamma 120.00
loop_
_atom_site_label
_atom_site_type_symbol
_atom_site_fract_x
_atom_site_fract_y
_atom_site_fract_z
Cr1 Cr 0.0000 0.5000 0.0000
Mo1 Mo 0.0000 0.0000 0.2524
Mo2 Mo 0.3333 0.6667 0.5000